Compound: BaTl3
Source: Alexandria
Functional: PBE
Structure: optimized geometry

Lattice parameters (Å, degrees): 7.416 7.416 17.091 90.00 90.00 120.00
Sites, in units of the cell vectors:
Ba  0.000  0.000  0.250
Ba  0.000  0.000  0.750
Ba  0.333  0.667  0.099
Ba  0.333  0.667  0.401
Ba  0.667  0.333  0.599
Ba  0.667  0.333  0.901
Tl  0.045  0.523  0.750
Tl  0.174  0.347  0.578
Tl  0.174  0.347  0.922
Tl  0.174  0.826  0.578
Tl  0.174  0.826  0.922
Tl  0.347  0.174  0.078
Tl  0.347  0.174  0.422
Tl  0.477  0.523  0.750
Tl  0.477  0.955  0.750
Tl  0.523  0.045  0.250
Tl  0.523  0.477  0.250
Tl  0.653  0.826  0.578
Tl  0.653  0.826  0.922
Tl  0.826  0.174  0.078
Tl  0.826  0.174  0.422
Tl  0.826  0.653  0.078
Tl  0.826  0.653  0.422
Tl  0.955  0.477  0.250

## Properties
- SG: P6_3/mmc (194)
- Formation energy: -1.1 eV per formula unit

---

Compound: Dy6Hg2Te3Pb
Source: Alexandria
Functional: PBE
Structure: optimized geometry

Lattice parameters (Å, degrees): 10.052 10.052 8.916 110.03 110.03 24.54
Sites, in units of the cell vectors:
Dy  0.010  0.010  0.254
Dy  0.330  0.330  0.875
Dy  0.337  0.337  0.385
Dy  0.663  0.663  0.615
Dy  0.670  0.670  0.125
Dy  0.990  0.990  0.746
Hg  0.184  0.184  0.388
Hg  0.816  0.816  0.612
Te  0.162  0.162  0.864
Te  0.500  0.500  0.500
Te  0.838  0.838  0.136
Pb  0.500  0.500  0.000

## Properties
- SG: C2/m (12)
- Raw formation energy: -10.6 eV/f.u.

---

Compound: Cu3TeW
Source: Alexandria
Functional: PBE
Structure: optimized geometry

Lattice parameters (Å, degrees): 4.742 4.742 4.742 90.00 90.00 90.00
Sites, in units of the cell vectors:
Cu  0.000  0.000  0.500
Cu  0.000  0.500  0.000
Cu  0.500  0.000  0.000
Te  0.500  0.500  0.500
W  0.000  0.000  0.000

## Properties
- SG: Pm-3m (221)
- Excess energy over the best structure of this formula in the dataset: 0 meV/atom
- Raw formation energy: 7.2 eV/f.u.

---

no.,calculated volume (Å³/atom)
1,33.9
2,29.2
3,21.3